A plane-wave DFT calculation with GGA-PBE was carried out for crystalline Ce2NiGe4Au3 at its relaxed geometry.

```
data_Ce2NiGe4Au3
_cell_length_a 4.3199
_cell_length_b 4.3199
_cell_length_c 10.7846
_cell_angle_alpha 90.00
_cell_angle_beta 90.00
_cell_angle_gamma 90.00
_space_group_name_H-M_alt 'P 1'
_space_group_IT_number 1
loop_
_space_group_symop_operation_xyz
'x,y,z'
loop_
_atom_site_label
_atom_site_fract_x
_atom_site_fract_y
_atom_site_fract_z
Ce1 0.0000 0.5000 0.2317
Ce2 0.5000 0.0000 0.7683
Ni1 0.5000 0.5000 0.0000
Ge1 0.0000 0.0000 0.5000
Ge2 0.0000 0.5000 0.8766
Ge3 0.5000 0.0000 0.1234
Ge4 0.5000 0.5000 0.5000
Au1 0.0000 0.0000 0.0000
Au2 0.0000 0.5000 0.6435
Au3 0.5000 0.0000 0.3565
```

Properties
**Total magnetization**: 1.4 μB/cell
**Calculated density**: 10.07 g cm⁻³
**Formation energy from the elements**: -0.500 eV/atom
**Total energy**: -5.095 eV/atom